A plane-wave DFT calculation with PBEsol was carried out for a relaxed structure of K2MnNb6Cl18.

Cell: 9.128 9.128 9.871 Å, 62.46 62.46 60.00°
Site moments in Bohr magnetons follow the coordinates.
Positions (direct):
Cl (0.363, 0.214, 0.498)  0.00
Cl (0.151, 0.575, 0.836)  0.00
Cl (0.561, 0.849, 0.164)  0.00
Cl (0.575, 0.439, 0.836)  0.00
Cl (0.701, 0.154, 0.174)  0.03
Cl (0.439, 0.151, 0.836)  0.00
Cl (0.425, 0.561, 0.164)  0.00
Cl (0.154, 0.971, 0.174)  0.03
Cl (0.299, 0.846, 0.826)  0.03
Cl (0.971, 0.701, 0.174)  0.03
Cl (0.786, 0.075, 0.502)  0.00
Cl (0.925, 0.363, 0.498)  0.00
Cl (0.214, 0.925, 0.498)  0.00
Cl (0.637, 0.786, 0.502)  0.00
Cl (0.846, 0.029, 0.826)  0.03
Cl (0.849, 0.425, 0.164)  0.00
Cl (0.029, 0.299, 0.826)  0.03
Cl (0.075, 0.637, 0.502)  0.00
K (0.722, 0.722, 0.833)  0.00
K (0.278, 0.278, 0.167)  0.00
Nb (0.655, 0.294, 0.642)  0.01
Nb (0.706, 0.591, 0.358)  0.01
Nb (0.591, 0.345, 0.358)  0.01
Nb (0.409, 0.655, 0.642)  0.01
Nb (0.345, 0.706, 0.358)  0.01
Nb (0.294, 0.409, 0.642)  0.01
Mn (0.000, 0.000, 0.000)  4.41

## Properties
Total DFT energy (no corrections)   -5.548 eV per atom
SG   R-3

---

A plane-wave DFT calculation with PBEsol was carried out for a relaxed structure of KZr6MnCl14.

Cell: 9.625 9.625 11.655 Å, 90.00 90.00 96.42°
Positions (direct):
Zr (0.696, 0.454, 0.618)
Zr (0.651, 0.651, 0.384)
Zr (0.804, 0.046, 0.118)
Zr (0.546, 0.304, 0.382)
Zr (0.046, 0.804, 0.118)
Zr (0.196, 0.954, 0.882)
Zr (0.954, 0.196, 0.882)
Zr (0.349, 0.349, 0.616)
Zr (0.151, 0.151, 0.116)
Zr (0.849, 0.849, 0.884)
Zr (0.304, 0.546, 0.382)
Zr (0.454, 0.696, 0.618)
Cl (0.796, 0.041, 0.745)
Cl (0.541, 0.296, 0.755)
Cl (0.123, 0.368, 0.996)
Cl (0.204, 0.959, 0.255)
Cl (0.091, 0.591, 0.250)
Cl (0.909, 0.409, 0.750)
Cl (0.132, 0.377, 0.496)
Cl (0.159, 0.159, 0.740)
Cl (0.632, 0.877, 0.004)
Cl (0.253, 0.747, 0.000)
Cl (0.341, 0.341, 0.240)
Cl (0.753, 0.247, 0.500)
Cl (0.623, 0.868, 0.504)
Cl (0.296, 0.541, 0.755)
Cl (0.877, 0.632, 0.004)
Cl (0.368, 0.123, 0.996)
Cl (0.377, 0.132, 0.496)
Cl (0.704, 0.459, 0.245)
Cl (0.841, 0.841, 0.260)
Cl (0.868, 0.623, 0.504)
Cl (0.959, 0.204, 0.255)
Cl (0.591, 0.091, 0.250)
Cl (0.041, 0.796, 0.745)
Cl (0.747, 0.253, 0.000)
Cl (0.247, 0.753, 0.500)
Cl (0.409, 0.909, 0.750)
Cl (0.459, 0.704, 0.245)
Cl (0.659, 0.659, 0.760)
Mn (0.000, 0.000, 0.000)
Mn (0.500, 0.500, 0.500)
K (0.500, 0.500, 0.000)
K (0.000, 0.000, 0.500)

## Properties
Total DFT energy (no corrections)   -5.935 eV per atom
SG   Cmce

---

A plane-wave DFT calculation with PBEsol was carried out for a relaxed structure of K2MoCl.

Cell: 5.839 5.839 5.839 Å, 60.00 60.00 60.00°
Site moments in Bohr magnetons follow the coordinates.
Positions (direct):
Cl (0.000, 0.000, 0.000)  0.02
K (0.250, 0.250, 0.250)  0.01
K (0.750, 0.750, 0.750)  0.01
Mo (0.500, 0.500, 0.500)  4.11

## Properties
Total DFT energy (no corrections)   -3.346 eV per atom
SG   Fm-3m
Energy relative to the lowest polymorph listed for this composition   0.237 eV per atom

---

A plane-wave DFT calculation with PBEsol was carried out for a relaxed structure of K2MoCl6.

Cell: 6.868 6.868 6.868 Å, 60.00 60.00 60.00°
Site moments in Bohr magnetons follow the coordinates.
Positions (direct):
Cl (0.757, 0.757, 0.243)  0.01
Cl (0.757, 0.243, 0.243)  0.01
Cl (0.757, 0.243, 0.757)  0.01
Cl (0.243, 0.243, 0.757)  0.01
Cl (0.243, 0.757, 0.757)  0.01
Cl (0.243, 0.757, 0.243)  0.01
Mo (0.000, 0.000, 0.000)  1.66
K (0.250, 0.250, 0.250)  0.00
K (0.750, 0.750, 0.750)  0.00

## Properties
Total DFT energy (no corrections)   -4.286 eV per atom
SG   Fm-3m

---

A plane-wave DFT calculation with PBEsol was carried out for a relaxed structure of K2MoCl.

Cell: 3.664 3.595 9.794 Å, 90.00 90.00 90.00°
Site moments in Bohr magnetons follow the coordinates.
Positions (direct):
Cl (0.500, 0.500, 0.025)  0.01
K (0.000, 0.500, 0.778)  0.01
K (0.000, 0.000, 0.189)  0.01
Mo (0.500, 0.000, 0.508)  3.78

## Properties
Total DFT energy (no corrections)   -3.583 eV per atom
SG   Pmm2
Energy relative to the lowest polymorph listed for this composition   0.000 eV per atom

---

A plane-wave DFT calculation with PBEsol was carried out for a relaxed structure of K4MoCl.

Cell: 7.279 7.279 7.279 Å, 60.00 60.00 60.00°
Site moments in Bohr magnetons follow the coordinates.
Positions (direct):
K (0.375, 0.875, 0.375)  0.00
K (0.375, 0.375, 0.375)  0.00
K (0.875, 0.375, 0.375)  0.00
K (0.375, 0.375, 0.875)  0.00
Mo (0.750, 0.750, 0.750)  4.08
Cl (0.000, 0.000, 0.000)  0.01

## Properties
Total DFT energy (no corrections)   -2.290 eV per atom
SG   F-43m

---

A plane-wave DFT calculation with PBEsol was carried out for a relaxed structure of K3MoCl6.

Cell: 7.478 7.478 7.478 Å, 60.00 60.00 60.00°
Site moments in Bohr magnetons follow the coordinates.
Positions (direct):
K (0.750, 0.750, 0.750)  0.00
K (0.250, 0.250, 0.250)  0.00
K (0.500, 0.500, 0.500)  0.00
Cl (0.772, 0.228, 0.772)  0.02
Cl (0.228, 0.772, 0.228)  0.02
Cl (0.772, 0.228, 0.228)  0.02
Cl (0.228, 0.228, 0.772)  0.02
Cl (0.228, 0.772, 0.772)  0.02
Cl (0.772, 0.772, 0.228)  0.02
Mo (0.000, 0.000, 0.000)  2.46

## Properties
Total DFT energy (no corrections)   -4.184 eV per atom
SG   Fm-3m

---

A plane-wave DFT calculation with PBEsol was carried out for a relaxed structure of KMoCl2.

Cell: 3.989 3.989 7.052 Å, 106.43 106.43 90.00°
Site moments in Bohr magnetons follow the coordinates.
Positions (direct):
K (0.500, 0.500, 0.000)  0.01
Mo (0.250, 0.750, 0.500)  3.96
Cl (0.000, 0.000, 0.000)  0.03
Cl (0.750, 0.250, 0.500)  0.02

## Properties
Total DFT energy (no corrections)   -4.285 eV per atom
SG   I-4m2
Energy relative to the lowest polymorph listed for this composition   0.190 eV per atom